PAuS2: relaxed, PBE.

Output
- M_tot (μB/cell) = 0.0
- E (eV for the cell shown) = -16.74
- uncorrected formation energy (eV/atom) = 0.0508
- crystal system = triclinic

Lattice parameters (Å, degrees): 4.6039 4.6984 4.8683 90.46 90.15 105.94
Space group P1 (No. 1)
Inequivalent atoms, fractional coordinates:
P1 0.0000 0.0000 0.0000 (multiplicity 1)
Au1 0.9997 0.4989 0.8952 (multiplicity 1)
S1 0.3813 0.1552 0.2768 (multiplicity 1)
S2 0.6194 0.8460 0.2732 (multiplicity 1)